1.
The following is a PBE calculation of a geometry-optimized Ir2Os3 structure, from the Alexandria database.

Results
Formation energy from the elements   433 meV/atom

Cell lengths 4.263, 7.057, 5.425 Å; angles 100.69, 90.00, 90.00 degrees
Positions (direct):
Ir1 0.750 0.262 0.557
Ir2 0.250 0.738 0.443
Os1 0.750 0.552 0.879
Os2 0.250 0.448 0.121
Os3 0.250 0.122 0.293
Ir3 0.750 0.214 0.053
Ir4 0.250 0.786 0.947
Os4 0.750 0.878 0.707
Os5 0.250 0.117 0.761
Os6 0.750 0.883 0.239



2.
The following is a PBE calculation of a geometry-optimized NdTm4Sc5 structure, from the Alexandria database.

Results
Formation energy from the elements   60 meV/atom

Cell lengths 3.408, 7.565, 12.130 Å; angles 111.14, 81.92, 76.98 degrees
Positions (direct):
Sc1 0.600 0.699 0.101
Tm1 0.804 0.595 0.797
Sc2 0.799 0.100 0.301
Tm2 0.399 0.801 0.401
Sc3 0.201 0.900 0.699
Nd1 0.000 0.000 0.000
Tm3 0.196 0.405 0.203
Sc4 0.000 0.500 0.500
Tm4 0.601 0.199 0.599
Sc5 0.400 0.301 0.899



3.
The following is a PBE calculation of a geometry-optimized Pm2ClO2 structure, from the Alexandria database.

Results
Uncorrected formation energy   -14.3 eV per formula unit

Cell lengths 4.012, 4.012, 6.969 Å; angles 90.00, 90.00, 120.00 degrees
Positions (direct):
Pm1 0.333 0.667 0.311
Pm2 0.667 0.333 0.689
O1 0.333 0.667 0.649
Cl1 0.000 0.000 0.000
O2 0.667 0.333 0.351



4.
The following is a PBE calculation of a geometry-optimized Ta2BiAuSe structure, from the Alexandria database.

Results
Uncorrected formation energy   7.1 eV per formula unit

Cell lengths 5.135, 4.915, 5.135 Å; angles 90.00, 90.00, 90.00 degrees
Positions (direct):
Ta1 0.500 0.000 0.000
Se1 0.000 0.500 0.000
Au1 0.000 0.000 0.000
Ta2 0.000 0.000 0.500
Bi1 0.500 0.500 0.500



5.
The following is a PBE calculation of a geometry-optimized InGa2Cl8 structure, from the Alexandria database.

Results
Uncorrected formation energy   -11.4 eV per formula unit

Cell lengths 6.380, 7.964, 7.964 Å; angles 71.39, 83.43, 83.43 degrees
Positions (direct):
Cl1 0.216 0.360 0.360
In1 0.000 0.000 0.000
Cl2 0.698 0.183 0.183
Cl3 0.302 0.817 0.817
Cl4 0.760 0.078 0.704
Cl5 0.240 0.922 0.296
Cl6 0.240 0.296 0.922
Ga1 0.654 0.802 0.802
Cl7 0.784 0.640 0.640
Cl8 0.760 0.704 0.078
Ga2 0.346 0.198 0.198



6.
The following is a PBE calculation of a geometry-optimized CaHfGa structure, from the Alexandria database.

Results
Formation energy from the elements   -92 meV/atom

Cell lengths 4.489, 3.179, 13.929 Å; angles 90.00, 90.00, 134.92 degrees
Positions (direct):
Ga1 0.195 0.390 0.500
Ca1 0.695 0.390 0.337
Hf1 0.194 0.388 0.869
Hf2 0.194 0.388 0.131
Ca2 0.695 0.390 0.663
Ga2 0.694 0.388 0.000



7.
The following is a PBE calculation of a geometry-optimized HgPb2 structure, from the Alexandria database.

Results
Formation energy from the elements   15 meV/atom

Cell lengths 7.162, 7.162, 7.162 Å; angles 150.69, 150.69, 41.94 degrees
Positions (direct):
Pb1 0.159 0.159 0.000
Hg1 0.500 0.500 0.000
Pb2 0.841 0.841 0.000



8.
The following is a PBE calculation of a geometry-optimized VCuBr4 structure, from the Alexandria database.

Results
Uncorrected formation energy   -2.5 eV per formula unit

Cell lengths 7.213, 7.213, 8.798 Å; angles 90.00, 90.00, 90.00 degrees
Positions (direct):
Br1 0.253 0.237 0.500
Cu1 0.000 0.000 0.000
Br2 0.253 0.763 0.500
Cu2 0.000 0.000 0.500
Br3 0.763 0.253 0.000
Br4 0.763 0.747 0.000
V1 0.500 0.000 0.500
Br5 0.237 0.253 0.000
Br6 0.747 0.237 0.500
V2 0.000 0.500 0.000
Br7 0.747 0.763 0.500
Br8 0.237 0.747 0.000



9.
The following is a PBE calculation of a geometry-optimized AcCuHgRh structure, from the Alexandria database.

Results
Formation energy from the elements   -152 meV/atom

Cell lengths 4.992, 4.992, 4.992 Å; angles 60.00, 60.00, 60.00 degrees
Positions (direct):
Cu1 0.000 0.000 0.000
Rh1 0.500 0.500 0.500
Hg1 0.750 0.750 0.750
Ac1 0.250 0.250 0.250



10.
The following is a PBE calculation of a geometry-optimized ZrCr2Cl structure, from the Alexandria database.

Results
Uncorrected formation energy   3.0 eV per formula unit

Cell lengths 4.725, 4.725, 4.725 Å; angles 60.00, 60.00, 60.00 degrees
Positions (direct):
Cr1 0.000 0.000 0.000
Cr2 0.250 0.250 0.250
Zr1 0.750 0.750 0.750
Cl1 0.500 0.500 0.500



| no. | total magnetization (μB per cell) |
| --- | --- |
| 1 | 0.0 |
| 2 | 0.0 |
| 3 | 0.4 |
| 4 | 1.0 |
| 5 | 0.8 |
| 6 | 0.0 |
| 7 | 0.0 |
| 8 | 5.7 |
| 9 | 0.0 |
| 10 | 8.0 |